Arrangement 1

PrErCuNi | PBE-GGA | optimized geometry

POSCAR file:
```
PrErCuNi
1.0
3.794 0.000 0.000
0.000 4.433 0.000
-1.897 0.000 5.193
Er Pr Cu Ni
1 1 1 1
Direct
0.864 0.500 0.727
0.143 0.000 0.285
0.567 0.500 0.133
0.427 0.000 0.855
```

Calculated values
SG: Amm2 (38)

---

Arrangement 2

PrErCuNi | PBE-GGA | optimized geometry

POSCAR file:
```
PrErCuNi
1.0
4.926 0.000 0.000
2.463 4.266 0.000
2.463 1.422 4.022
Ni Cu Pr Er
1 1 1 1
Direct
0.250 0.250 0.250
0.750 0.750 0.750
0.500 0.500 0.500
0.000 0.000 0.000
```

Calculated values
SG: F-43m (216)

---

Most stable to least stable, the ends of the list are arrangement 1 and arrangement 2.

---

Arrangement 1

ErScCuNi | PBE-GGA | optimized geometry

POSCAR file:
```
ErScCuNi
1.0
4.671 0.000 0.000
2.336 4.045 0.000
2.336 1.348 3.814
Sc Ni Cu Er
1 1 1 1
Direct
0.500 0.500 0.500
0.750 0.750 0.750
0.250 0.250 0.250
0.000 0.000 0.000
```

Calculated values
SG: F-43m (216)

---

Arrangement 2

ErScCuNi | PBE-GGA | optimized geometry

POSCAR file:
```
ErScCuNi
1.0
3.294 0.000 0.000
0.000 3.294 0.000
0.000 0.000 6.644
Ni Er Sc Cu
1 1 1 1
Direct
0.000 0.000 0.335
0.500 0.500 0.600
0.500 0.500 0.113
0.000 0.000 0.880
```

Calculated values
SG: P4mm (99)

---

Most stable to least stable, the ends of the list are arrangement 2 and arrangement 1.

---

Arrangement 1

ErThCuNi | PBE-GGA | optimized geometry

POSCAR file:
```
ErThCuNi
1.0
3.671 0.000 0.000
0.000 4.295 0.000
-1.836 0.000 5.420
Er Ni Cu Th
1 1 1 1
Direct
0.138 0.000 0.276
0.418 0.000 0.835
0.579 0.500 0.157
0.865 0.500 0.731
```

Calculated values
SG: Amm2 (38)

---

Arrangement 2

ErThCuNi | PBE-GGA | optimized geometry

POSCAR file:
```
ErThCuNi
1.0
-4.271 1.340 2.030
-4.240 -1.499 -1.982
-2.763 -3.328 2.334
Er Ni Th Cu
1 1 1 1
Direct
0.750 0.750 0.750
0.000 0.000 0.000
0.250 0.250 0.250
0.500 0.500 0.500
```

Calculated values
SG: F-43m (216)

---

Most stable to least stable, the ends of the list are arrangement 1 and arrangement 2.